GGA-PBE Na3SnTe3, optimized geometry; E_tot = -3.08 eV/atom; SG = C2/m; energy relative to the elements, uncorrected = -0.596 eV/atom; offset from the most stable computed form = 0.037 eV/atom
1.0
-7.592 -2.215 3.231
1.064 -0.992 -8.419
3.091 -6.902 1.572
Na Sn Te
6 2 6
Cartesian
-2.787 -4.152 -2.507
0.966 -4.675 -5.421
-4.403 -5.434 1.805
-1.035 -1.289 -5.595
-5.494 -1.919 0.407
-0.651 -5.957 -1.109
-2.514 -8.790 -2.791
-0.924 -1.320 -0.825
-5.089 -5.061 -4.313
-3.516 -7.362 -0.535
-0.806 -6.979 -4.182
0.078 -2.748 -3.080
-2.631 -3.131 0.566
1.652 -5.049 0.697